A relaxed LiPrIr crystal. Source: Alexandria via LeMat-Bulk, functional PBE-GGA.

Summary:
Formation energy from the elements = -0.30 eV/atom
V = 20.52 Å³/atom
Relative energy among the computed polymorphs = 97 meV per atom

a b c (Å): 4.4024 4.4024 3.6685
angles (deg): 90.00 90.00 120.00
Space group P-6m2 (No. 187)
Unique sites:
Li (0.0000, 0.0000, 0.0000) (multiplicity 1)
Pr (0.6667, 0.3333, 0.5000) (multiplicity 1)
Ir (0.3333, 0.6667, 0.0000) (multiplicity 1)